Zr3Sb4Pt3 | PBE | relaxed

```
Zr3Sb4Pt3
1.0
-3.024 -6.811 -3.463
7.674 1.251 -2.661
0.041 -0.868 8.171
Pt Zr Sb
6 6 8
Direct
0.875 0.250 0.125
0.125 0.875 0.250
0.750 0.375 0.625
0.375 0.625 0.750
0.625 0.750 0.375
0.250 0.125 0.875
0.250 0.625 0.375
0.375 0.250 0.625
0.750 0.875 0.125
0.125 0.750 0.875
0.875 0.125 0.750
0.625 0.375 0.250
0.816 0.500 0.000
0.500 0.000 0.316
0.500 0.000 0.816
0.184 0.184 0.184
0.000 0.816 0.500
0.684 0.684 0.684
0.000 0.316 0.500
0.316 0.500 0.000
```

Properties
DFT total energy in eV/cell: -136.72
Uncorrected formation energy in eV/atom: -0.81
Symmetry: No. 220